Below is a geometry-optimized AcCoAgF6 structure, with properties calculated at the GGA+U level.

a = 6.187 Å, b = 6.187 Å, c = 8.728 Å
α = 90.00°, β = 90.00°, γ = 120.00°
Sites, in units of the cell vectors:
Ac (0.333, 0.667, 0.250)
Ac (0.667, 0.333, 0.750)
Co (0.333, 0.667, 0.750)
Co (0.667, 0.333, 0.250)
Ag (0.000, 0.000, 0.000)
Ag (0.000, 0.000, 0.500)
F (0.046, 0.383, 0.628)
F (0.046, 0.663, 0.872)
F (0.337, 0.383, 0.872)
F (0.337, 0.954, 0.628)
F (0.383, 0.046, 0.128)
F (0.383, 0.337, 0.372)
F (0.617, 0.663, 0.628)
F (0.617, 0.954, 0.872)
F (0.663, 0.046, 0.372)
F (0.663, 0.617, 0.128)
F (0.954, 0.337, 0.128)
F (0.954, 0.617, 0.372)

As for the space group: No. 163. The density of states at the Fermi level comes out at 13.5 states/eV/cell. The value obtained for the uncorrected energy is -93.39 eV/cell.